Computed, not measured: Rb2Tl2Rh after structural relaxation at the PBE-GGA level of DFT.

Geometry as extended XYZ:
```
10
Lattice="7.413 0.000 0.000 0.000 7.413 0.000 0.000 0.000 6.312" Properties=species:S:1:pos:R:3 pbc="T T T"
Rb 1.316 2.390 0.000
Rb 2.390 6.097 0.000
Rb 5.023 1.316 0.000
Rb 6.097 5.023 0.000
Tl 1.276 4.983 3.156
Tl 2.431 1.276 3.156
Tl 4.983 6.137 3.156
Tl 6.137 2.431 3.156
Rh 0.000 0.000 3.156
Rh 3.707 3.707 3.156
```

- energy of formation (meV/atom) = 129
- calculated volume (A^3/atom) = 34.69